1.
The following is a DFT calculation (PBE-GGA) of a relaxed structure of La4Sm5Th.

Cell lengths 3.677, 3.677, 25.916 Å; angles 90.00, 90.00, 90.00 degrees
Element x y z (fractional)
La: 0.000 0.000 0.198
La: 0.000 0.000 0.400
La: 0.000 0.000 0.600
La: 0.000 0.000 0.802
Sm: 0.500 0.500 0.701
Sm: 0.500 0.500 0.500
Sm: 0.500 0.500 0.093
Sm: 0.500 0.500 0.907
Sm: 0.500 0.500 0.299
Th: 0.000 0.000 0.000

Values from the calculation:
Total DFT energy (no corrections): -0.371 Ry per atom
Symmetry: P4/mmm
Total moment: 0.0 μB/f.u.



2.
The following is a DFT calculation (PBE-GGA) of a relaxed structure of FeTcP2.

Cell lengths 2.773, 2.773, 7.419 Å; angles 90.00, 90.00, 90.00 degrees
Element x y z (fractional)
Fe: 0.500 0.500 0.757
Tc: 0.000 0.000 0.511
P: 0.500 0.500 0.309
P: 0.000 0.000 0.922

Values from the calculation:
Total DFT energy (no corrections): -0.548 Ry per atom
Symmetry: P4mm
Total moment: 0.0 μB/f.u.



3.
The following is a DFT calculation (PBE-GGA) of a relaxed structure of Na4MgU3S8.

Cell lengths 7.860, 8.118, 7.859 Å; angles 118.96, 120.00, 90.00 degrees
Each line ends with the local moment (μB).
Element x y z (fractional)
S: 0.761 0.275 0.014  -0.05
S: 0.256 0.268 0.512  -0.06
S: 0.239 0.725 0.478  -0.05
S: 0.761 0.275 0.522  -0.05
S: 0.239 0.725 0.986  -0.05
S: 0.252 0.275 0.014  -0.05
S: 0.748 0.725 0.986  -0.05
S: 0.744 0.732 0.488  -0.06
U: 0.500 0.500 0.000  2.47
U: 0.000 0.500 0.500  2.47
U: 0.500 0.500 0.500  2.47
Na: 0.000 0.000 0.500  0.00
Na: 0.000 0.000 0.000  0.00
Na: 0.500 0.000 0.000  0.00
Na: 0.500 0.000 0.500  0.00
Mg: 0.000 0.500 0.000  0.00

Values from the calculation:
Energy relative to the elements, uncorrected: -1.356 eV/atom
Symmetry: R-3m
Total moment: 8.0 μB/f.u.



4.
The following is a DFT calculation (PBE-GGA) of a relaxed structure of BiTeO4F.

Cell lengths 6.122, 6.122, 7.190 Å; angles 77.10, 77.10, 75.32 degrees
Element x y z (fractional)
O: 0.123 0.493 0.144
O: 0.507 0.877 0.856
O: 0.877 0.507 0.856
O: 0.221 0.221 0.536
O: 0.540 0.540 0.284
O: 0.493 0.123 0.144
O: 0.460 0.460 0.716
O: 0.779 0.779 0.464
Bi: 0.201 0.201 0.873
Bi: 0.799 0.799 0.127
Te: 0.650 0.650 0.707
Te: 0.350 0.350 0.293
F: 0.022 0.022 0.167
F: 0.978 0.978 0.833

Values from the calculation:
Energy relative to the elements, uncorrected: -1.188 eV/atom
Symmetry: C2/m
Total moment: 0.0 μB/f.u.



5.
The following is a DFT calculation (PBE-GGA) of a relaxed structure of BeHg3.

Cell lengths 4.967, 4.967, 4.967 Å; angles 60.00, 60.00, 60.00 degrees
Element x y z (fractional)
Hg: 0.750 0.750 0.750
Hg: 0.250 0.250 0.250
Hg: 0.500 0.500 0.500
Be: 0.000 0.000 0.000

Values from the calculation:
Total DFT energy (no corrections): -0.044 Ry per atom
Symmetry: Fm-3m
Total moment: 0.0 μB/f.u.



6.
The following is a DFT calculation (PBE-GGA) of a relaxed structure of Pr2TlBi.

Cell lengths 5.620, 5.620, 5.620 Å; angles 60.00, 60.00, 60.00 degrees
Element x y z (fractional)
Pr: 0.250 0.250 0.250
Pr: 0.750 0.750 0.750
Bi: 0.000 0.000 0.000
Tl: 0.500 0.500 0.500

Values from the calculation:
Total DFT energy (no corrections): -0.326 Ry per atom
Symmetry: Fm-3m
Total moment: 0.0 μB/f.u.